Compound: Y4Ga12Ni
Source: Alexandria
Functional: GGA-PBE
Structure: relaxed

Unit cell a=8.596 b=8.596 c=8.596 alpha=90.00 beta=90.00 gamma=90.00
Space group Im-3m (No. 229)
Symmetry-distinct sites (fractional):
Y (0.250, 0.250, 0.250) (multiplicity 8)
Ga (0.000, 0.000, 0.287) (multiplicity 12)
Ga (0.000, 0.250, 0.500) (multiplicity 12)
Ni (0.000, 0.000, 0.000) (multiplicity 2)

Summary:
Spin magnetization (μB per cell): 0.00
Energy relative to the elements (meV per atom): -576
E (eV/atom): -4.57